Entry from Alexandria: a relaxed La2Cu15Rh2 crystal (GGA-PBE).

total energy = -4.67 eV/atom
formation enthalpy at 0 K = -0.139 eV/atom
N(E_F) = 10.22 states/eV/cell
space group = No. 166

Unit cell a=6.557 b=6.557 c=6.557 alpha=83.92 beta=83.92 gamma=83.92
Fractional positions:
La: 0.332 0.332 0.332
La: 0.668 0.668 0.668
Cu: 0.500 0.000 0.000
Cu: 0.000 0.000 0.500
Cu: 0.000 0.500 0.000
Cu: 0.000 0.712 0.288
Cu: 0.712 0.288 0.000
Cu: 0.288 0.000 0.712
Cu: 0.288 0.712 0.000
Cu: 0.712 0.000 0.288
Cu: 0.000 0.288 0.712
Cu: 0.153 0.652 0.652
Cu: 0.652 0.652 0.153
Cu: 0.652 0.153 0.652
Cu: 0.847 0.348 0.348
Cu: 0.348 0.348 0.847
Cu: 0.348 0.847 0.348
Rh: 0.106 0.106 0.106
Rh: 0.894 0.894 0.894